# AgPbSeO

AgPbSeO after structural relaxation (PBE, OQMD via LeMat-Bulk).

Cell lengths 4.083, 4.083, 9.963 Å; angles 90.00, 90.00, 90.00 degrees
Positions (direct):
Ag  0.250  0.250  0.186
Ag  0.750  0.750  0.814
Pb  0.250  0.250  0.629
Pb  0.750  0.750  0.371
Se  0.250  0.750  0.000
Se  0.750  0.250  0.000
O  0.250  0.250  0.407
O  0.750  0.750  0.593

Values from the calculation:
**Total energy**: -4.018 eV per atom
**Energy above the most stable polymorph in this dataset**: 168 meV per atom
**Space group**: P4/nmm (129)